# 1
## Pr2SmHoEr2 (PBE-GGA)

Data for a relaxed Pr2SmHoEr2 crystal.

a = 5.6913 Å, b = 9.8823 Å, c = 7.0238 Å
α = 90.00°, β = 90.00°, γ = 90.00°
Closest atoms and distances in Å follow each position.
Positions (direct):
Pr1 0.0000 0.0004 0.0000  6 Pr 3.51-3.75, 6 Er 3.72-3.74, 2 Ho 3.76-3.77
Pr2 0.0000 0.9996 0.5000  6 Pr 3.51-3.75, 6 Er 3.72-3.74, 2 Ho 3.76-3.77
Pr3 0.5000 0.1716 0.2503  5 Er 3.27-3.51
Pr4 0.5000 0.8284 0.7503  5 Er 3.27-3.51
Sm1 0.5000 0.4997 0.9999  2 Sm 3.51, 2 Pr 3.69, 4 Ho 3.71, 6 Er 3.72-3.74
Sm2 0.5000 0.5003 0.4999  2 Sm 3.51, 2 Pr 3.69, 4 Ho 3.71, 6 Er 3.72-3.74
Ho1 0.0000 0.3370 0.7497  5 Er 3.25-3.51
Ho2 0.0000 0.6630 0.2497  5 Er 3.25-3.51
Er1 0.0000 0.3338 0.2500  3 Ho 3.25-3.51, 2 Pr 3.27
Er2 0.0000 0.6662 0.7500  3 Ho 3.25-3.51, 2 Pr 3.27
Er3 0.5000 0.1658 0.7499  2 Ho 3.31, 3 Pr 3.33-3.51
Er4 0.5000 0.8342 0.2499  2 Ho 3.31, 3 Pr 3.33-3.51

ΔE_f (meV per atom): 71
Crystal system: orthorhombic
Total moment (μB per cell): 0.0
Total DFT energy (no corrections) (eV per atom): -4.5922
Space group: Pmc2_1 (26)

=====

# 2
## PrSmHo5Er2 (PBE-GGA)

Data for a relaxed PrSmHo5Er2 crystal.

a = 9.6533 Å, b = 9.6533 Å, c = 9.6533 Å
α = 124.54°, β = 124.54°, γ = 82.30°
Closest atoms and distances in Å follow each position.
Positions (direct):
Pr1 0.2500 0.2500 0.0000  10 Ho 3.63-3.67
Pr2 0.7500 0.7500 0.0000  10 Ho 3.63-3.67
Sm1 0.2500 0.7500 0.5000  4 Ho 3.11
Sm2 0.7500 0.2500 0.5000  4 Ho 3.11
Ho1 0.0000 0.0000 0.0000  4 Er 3.63, 2 Pr 3.63, 8 Ho 3.74
Ho2 0.0731 0.5731 0.9058  1 Er 3.02, 1 Sm 3.11
Ho3 0.1674 0.0731 0.5000  1 Er 3.02, 1 Sm 3.11
Ho4 0.3326 0.8326 0.9058  1 Er 3.02, 1 Sm 3.11
Ho5 0.4269 0.3326 0.5000  1 Er 3.02, 1 Sm 3.11
Ho6 0.5000 0.5000 0.0000  4 Er 3.63, 2 Pr 3.63, 8 Ho 3.74
Ho7 0.5731 0.6674 0.5000  1 Er 3.02, 1 Sm 3.11
Ho8 0.6674 0.1674 0.0942  1 Er 3.02, 1 Sm 3.11
Ho9 0.8326 0.9269 0.5000  1 Er 3.02, 1 Sm 3.11
Ho10 0.9269 0.4269 0.0942  1 Er 3.02, 1 Sm 3.11
Er1 0.1120 0.3880 0.5000  1 Er 2.84, 2 Ho 3.02
Er2 0.3880 0.8880 0.2761  1 Er 2.84, 2 Ho 3.02
Er3 0.6120 0.1120 0.7239  1 Er 2.84, 2 Ho 3.02
Er4 0.8880 0.6120 0.5000  1 Er 2.84, 2 Ho 3.02

ΔE_f (meV per atom): 288
Crystal system: tetragonal
Total moment (μB per cell): 0.0
Total DFT energy (no corrections) (eV per atom): -4.3247
Space group: I4/mcm (140)

=====

# 3
## PrSmHoEr (PBE-GGA)

Data for a relaxed PrSmHoEr crystal.

a = 5.7209 Å, b = 5.7209 Å, c = 5.7209 Å
α = 60.00°, β = 60.00°, γ = 60.00°
Closest atoms and distances in Å follow each position.
Positions (direct):
Pr1 0.0000 0.0000 0.0000  4 Ho 3.50, 4 Er 3.50
Sm1 0.5000 0.5000 0.5000  4 Ho 3.50, 4 Er 3.50
Ho1 0.7500 0.7500 0.7500  4 Sm 3.50, 4 Pr 3.50
Er1 0.2500 0.2500 0.2500  4 Pr 3.50, 4 Sm 3.50

ΔE_f (meV per atom): 112
Crystal system: cubic
Total moment (μB per cell): 0.0
Total DFT energy (no corrections) (eV per atom): -4.5483
Space group: F-43m (216)

=====

# 4
## Pr2SmHo3Er6 (PBE-GGA)

Data for a relaxed Pr2SmHo3Er6 crystal.

a = 6.1634 Å, b = 6.1634 Å, c = 11.7375 Å
α = 95.01°, β = 95.01°, γ = 119.96°
Closest atoms and distances in Å follow each position.
Positions (direct):
Pr1 0.1667 0.8333 0.0000  3 Pr 3.56, 3 Sm 3.56, 6 Er 3.58-3.59
Pr2 0.8333 0.1667 0.0000  3 Pr 3.56, 3 Sm 3.56, 6 Er 3.58-3.59
Sm1 0.5000 0.5000 0.0000  6 Pr 3.56, 6 Er 3.58-3.59
Ho1 0.0000 0.0000 0.5000  6 Er 3.50-3.51, 6 Ho 3.56
Ho2 0.3334 0.6666 0.5000  6 Er 3.50-3.51, 6 Ho 3.56
Ho3 0.6666 0.3334 0.5000  6 Er 3.50-3.51, 6 Ho 3.56
Er1 0.0815 0.4145 0.7458  3 Ho 3.50-3.51, 6 Er 3.55-3.56, 2 Pr 3.58-3.59, 1 Sm 3.59
Er2 0.2527 0.2527 0.2543  3 Ho 3.50-3.51, 6 Er 3.56, 1 Sm 3.58, 2 Pr 3.59
Er3 0.4145 0.0815 0.7458  3 Ho 3.50-3.51, 6 Er 3.55-3.56, 2 Pr 3.58-3.59, 1 Sm 3.59
Er4 0.5855 0.9185 0.2542  3 Ho 3.50-3.51, 6 Er 3.55-3.56, 2 Pr 3.58-3.59, 1 Sm 3.59
Er5 0.7473 0.7473 0.7457  3 Ho 3.50-3.51, 6 Er 3.56, 1 Sm 3.58, 2 Pr 3.59
Er6 0.9185 0.5855 0.2542  3 Ho 3.50-3.51, 6 Er 3.55-3.56, 2 Pr 3.58-3.59, 1 Sm 3.59

ΔE_f (meV per atom): 22
Crystal system: monoclinic
Total moment (μB per cell): 0.0
Total DFT energy (no corrections) (eV per atom): -4.5937
Space group: C2/m (12)

=====

# 5
## PrSmHoEr3 (PBE-GGA)

Data for a relaxed PrSmHoEr3 crystal.

a = 10.2092 Å, b = 10.2092 Å, c = 7.0984 Å
α = 90.15°, β = 90.15°, γ = 31.80°
Closest atoms and distances in Å follow each position.
Positions (direct):
Pr1 0.1451 0.1451 0.0358  1 Sm 2.98, 2 Er 3.17-3.29
Pr2 0.8549 0.8549 0.9642  1 Sm 2.98, 2 Er 3.17-3.29
Sm1 0.1487 0.1487 0.4553  1 Pr 2.98, 2 Er 3.17-3.31
Sm2 0.8513 0.8513 0.5447  1 Pr 2.98, 2 Er 3.17-3.31
Ho1 0.4455 0.4455 0.7339  3 Er 3.20-3.29
Ho2 0.5545 0.5545 0.2661  3 Er 3.20-3.29
Er1 0.0242 0.0242 0.7395  1 Pr 3.17, 1 Sm 3.17, 2 Ho 3.20, 1 Er 3.53
Er2 0.2781 0.2781 0.7545  1 Ho 3.29, 3 Pr 3.29-3.51, 3 Sm 3.31-3.48, 2 Er 3.61
Er3 0.3376 0.3376 0.2620  2 Sm 3.45, 2 Pr 3.52, 4 Er 3.61-3.78
Er4 0.6624 0.6624 0.7380  2 Sm 3.45, 2 Pr 3.52, 4 Er 3.61-3.78
Er5 0.7219 0.7219 0.2455  1 Ho 3.29, 3 Pr 3.29-3.51, 3 Sm 3.31-3.48, 2 Er 3.61
Er6 0.9758 0.9758 0.2605  1 Pr 3.17, 1 Sm 3.17, 2 Ho 3.20, 1 Er 3.53

ΔE_f (meV per atom): 214
Crystal system: monoclinic
Total moment (μB per cell): 0.0
Total DFT energy (no corrections) (eV per atom): -4.4137
Space group: C2/m (12)

=====

# 6
## Pr2SmHo5Er (PBE-GGA)

Data for a relaxed Pr2SmHo5Er crystal.

a = 9.9427 Å, b = 9.9427 Å, c = 9.9427 Å
α = 128.30°, β = 128.30°, γ = 76.13°
Closest atoms and distances in Å follow each position.
Positions (direct):
Pr1 0.1180 0.6180 0.7360  1 Pr 2.89, 2 Ho 3.02
Pr2 0.3820 0.1180 0.5000  1 Pr 2.89, 2 Ho 3.02
Pr3 0.6180 0.8820 0.5000  1 Pr 2.89, 2 Ho 3.02
Pr4 0.8820 0.3820 0.2640  1 Pr 2.89, 2 Ho 3.02
Sm1 0.2500 0.2500 0.0000  10 Ho 3.55-3.91
Sm2 0.7500 0.7500 0.0000  10 Ho 3.55-3.91
Ho1 0.0000 0.0000 0.0000  4 Pr 3.47, 8 Ho 3.80
Ho2 0.0722 0.1476 0.5000  1 Pr 3.02, 1 Er 3.12
Ho3 0.1476 0.6476 0.0754  1 Pr 3.02, 1 Er 3.12
Ho4 0.3524 0.4278 0.5000  1 Pr 3.02, 1 Er 3.12
Ho5 0.4278 0.9278 0.0754  1 Pr 3.02, 1 Er 3.12
Ho6 0.5000 0.5000 0.0000  4 Pr 3.47, 8 Ho 3.80
Ho7 0.5722 0.0722 0.9246  1 Pr 3.02, 1 Er 3.12
Ho8 0.6476 0.5722 0.5000  1 Pr 3.02, 1 Er 3.12
Ho9 0.8524 0.3524 0.9246  1 Pr 3.02, 1 Er 3.12
Ho10 0.9278 0.8524 0.5000  1 Pr 3.02, 1 Er 3.12
Er1 0.2500 0.7500 0.5000  4 Ho 3.12
Er2 0.7500 0.2500 0.5000  4 Ho 3.12

ΔE_f (meV per atom): 270
Crystal system: tetragonal
Total moment (μB per cell): 0.0
Total DFT energy (no corrections) (eV per atom): -4.3670
Space group: I4/mcm (140)

=====

# 7
## Pr2SmHoEr (PBE-GGA)

Data for a relaxed Pr2SmHoEr crystal.

a = 7.1964 Å, b = 7.1964 Å, c = 7.3228 Å
α = 90.00°, β = 90.00°, γ = 107.74°
Closest atoms and distances in Å follow each position.
Positions (direct):
Pr1 0.1943 0.1943 0.0000  2 Er 3.18, 1 Pr 3.30
Pr2 0.1943 0.1943 0.5000  2 Er 3.18, 1 Pr 3.30
Pr3 0.8057 0.8057 0.0000  2 Er 3.18, 1 Pr 3.30
Pr4 0.8057 0.8057 0.5000  2 Er 3.18, 1 Pr 3.30
Sm1 0.2235 0.7765 0.7500  1 Er 3.09
Sm2 0.7765 0.2235 0.2500  1 Er 3.09
Ho1 0.2353 0.7647 0.2500  1 Er 3.20
Ho2 0.7647 0.2353 0.7500  1 Er 3.20
Er1 0.4891 0.5109 0.7500  1 Sm 3.09, 4 Pr 3.18, 1 Ho 3.20
Er2 0.5109 0.4891 0.2500  1 Sm 3.09, 4 Pr 3.18, 1 Ho 3.20

ΔE_f (meV per atom): 405
Crystal system: orthorhombic
Total moment (μB per cell): 0.0
Total DFT energy (no corrections) (eV per atom): -4.2792
Space group: Cmcm (63)

=====

# 8
## PrSm2HoEr2 (PBE-GGA)

Data for a relaxed PrSm2HoEr2 crystal.

a = 6.6404 Å, b = 17.6930 Å, c = 3.4007 Å
α = 90.00°, β = 90.00°, γ = 90.00°
Closest atoms and distances in Å follow each position.
Positions (direct):
Pr1 0.0000 0.0000 0.0000  2 Sm 3.25, 2 Pr 3.40, 2 Er 3.53
Pr2 0.5000 0.5000 0.5000  2 Sm 3.25, 2 Pr 3.40, 2 Er 3.53
Sm1 0.2251 0.3483 0.5000  1 Pr 3.25, 4 Er 3.33-3.43, 2 Sm 3.40, 2 Ho 3.51
Sm2 0.2749 0.8483 0.0000  1 Pr 3.25, 4 Er 3.33-3.43, 2 Sm 3.40, 2 Ho 3.51
Sm3 0.7251 0.1517 0.0000  1 Pr 3.25, 4 Er 3.33-3.43, 2 Sm 3.40, 2 Ho 3.51
Sm4 0.7749 0.6517 0.5000  1 Pr 3.25, 4 Er 3.33-3.43, 2 Sm 3.40, 2 Ho 3.51
Ho1 0.0000 0.5000 0.0000  2 Ho 3.40, 4 Sm 3.51, 4 Pr 3.73
Ho2 0.5000 0.0000 0.5000  2 Ho 3.40, 4 Sm 3.51, 4 Pr 3.73
Er1 0.2300 0.1798 0.0000  4 Sm 3.33-3.43, 2 Er 3.40, 1 Pr 3.53
Er2 0.2700 0.6798 0.5000  4 Sm 3.33-3.43, 2 Er 3.40, 1 Pr 3.53
Er3 0.7300 0.3202 0.5000  4 Sm 3.33-3.43, 2 Er 3.40, 1 Pr 3.53
Er4 0.7700 0.8202 0.0000  4 Sm 3.33-3.43, 2 Er 3.40, 1 Pr 3.53

ΔE_f (meV per atom): 270
Crystal system: orthorhombic
Total moment (μB per cell): 0.0
Total DFT energy (no corrections) (eV per atom): -4.3831
Space group: Pnnm (58)

=====

# 9
## Pr5Sm2HoEr (PBE-GGA)

Data for a relaxed Pr5Sm2HoEr crystal.

a = 10.4707 Å, b = 10.4707 Å, c = 10.4707 Å
α = 131.44°, β = 131.44°, γ = 71.12°
Closest atoms and distances in Å follow each position.
Positions (direct):
Pr1 0.0000 0.0000 0.0000  4 Sm 3.42
Pr2 0.0742 0.5742 0.9347  1 Sm 3.12, 1 Er 3.21
Pr3 0.1395 0.0742 0.5000  1 Sm 3.12, 1 Er 3.21
Pr4 0.3605 0.8605 0.9347  1 Sm 3.12, 1 Er 3.21
Pr5 0.4258 0.3605 0.5000  1 Sm 3.12, 1 Er 3.21
Pr6 0.5000 0.5000 0.0000  4 Sm 3.42
Pr7 0.5742 0.6395 0.5000  1 Sm 3.12, 1 Er 3.21
Pr8 0.6395 0.1395 0.0653  1 Sm 3.12, 1 Er 3.21
Pr9 0.8605 0.9258 0.5000  1 Sm 3.12, 1 Er 3.21
Pr10 0.9258 0.4258 0.0653  1 Sm 3.12, 1 Er 3.21
Sm1 0.1225 0.3775 0.5000  1 Sm 2.98, 2 Pr 3.12
Sm2 0.3775 0.8775 0.2550  1 Sm 2.98, 2 Pr 3.12
Sm3 0.6225 0.1225 0.7450  1 Sm 2.98, 2 Pr 3.12
Sm4 0.8775 0.6225 0.5000  1 Sm 2.98, 2 Pr 3.12
Ho1 0.2500 0.2500 0.0000  8 Pr 3.57
Ho2 0.7500 0.7500 0.0000  8 Pr 3.57
Er1 0.2500 0.7500 0.5000  4 Pr 3.21
Er2 0.7500 0.2500 0.5000  4 Pr 3.21

ΔE_f (meV per atom): 286
Crystal system: tetragonal
Total moment (μB per cell): 0.0
Total DFT energy (no corrections) (eV per atom): -4.4339
Space group: I4/mcm (140)

=====

# 10
## PrSm2HoEr5 (PBE-GGA)

Data for a relaxed PrSm2HoEr5 crystal.

a = 9.7885 Å, b = 9.7885 Å, c = 9.7885 Å
α = 126.84°, β = 126.84°, γ = 78.51°
Closest atoms and distances in Å follow each position.
Positions (direct):
Pr1 0.2500 0.2500 0.0000  10 Er 3.59-3.79
Pr2 0.7500 0.7500 0.0000  10 Er 3.59-3.79
Sm1 0.1154 0.6154 0.7308  1 Sm 2.86, 2 Er 3.00
Sm2 0.3846 0.1154 0.5000  1 Sm 2.86, 2 Er 3.00
Sm3 0.6154 0.8846 0.5000  1 Sm 2.86, 2 Er 3.00
Sm4 0.8846 0.3846 0.2692  1 Sm 2.86, 2 Er 3.00
Ho1 0.2500 0.7500 0.5000  4 Er 3.11
Ho2 0.7500 0.2500 0.5000  4 Er 3.11
Er1 0.0000 0.0000 0.0000  4 Sm 3.52, 8 Er 3.75, 2 Pr 3.79
Er2 0.0729 0.1558 0.5000  1 Sm 3.00, 1 Ho 3.11
Er3 0.1558 0.6558 0.0829  1 Sm 3.00, 1 Ho 3.11
Er4 0.3442 0.4271 0.5000  1 Sm 3.00, 1 Ho 3.11
Er5 0.4271 0.9271 0.0829  1 Sm 3.00, 1 Ho 3.11
Er6 0.5000 0.5000 0.0000  4 Sm 3.52, 8 Er 3.75, 2 Pr 3.79
Er7 0.5729 0.0729 0.9171  1 Sm 3.00, 1 Ho 3.11
Er8 0.6558 0.5729 0.5000  1 Sm 3.00, 1 Ho 3.11
Er9 0.8442 0.3442 0.9171  1 Sm 3.00, 1 Ho 3.11
Er10 0.9271 0.8442 0.5000  1 Sm 3.00, 1 Ho 3.11

ΔE_f (meV per atom): 270
Crystal system: tetragonal
Total moment (μB per cell): 0.0
Total DFT energy (no corrections) (eV per atom): -4.3534
Space group: I4/mcm (140)

=====

# 11
## PrSm3HoEr (PBE-GGA)

Data for a relaxed PrSm3HoEr crystal.

a = 10.5756 Å, b = 10.5756 Å, c = 6.8949 Å
α = 90.09°, β = 90.09°, γ = 31.56°
Closest atoms and distances in Å follow each position.
Positions (direct):
Pr1 0.1440 0.1440 0.0193  1 Er 3.07, 2 Sm 3.18-3.32
Pr2 0.8560 0.8560 0.9807  1 Er 3.07, 2 Sm 3.18-3.32
Sm1 0.0192 0.0192 0.7401  1 Pr 3.18, 1 Er 3.23, 2 Ho 3.28, 1 Sm 3.40
Sm2 0.2800 0.2800 0.7546  1 Ho 3.30, 3 Pr 3.32-3.62, 3 Er 3.36-3.57, 1 Sm 3.56
Sm3 0.3392 0.3392 0.2695  2 Er 3.42, 2 Pr 3.51, 4 Sm 3.56-3.77, 1 Ho 3.78
Sm4 0.6608 0.6608 0.7305  2 Er 3.42, 2 Pr 3.51, 4 Sm 3.56-3.77, 1 Ho 3.78
Sm5 0.7200 0.7200 0.2454  1 Ho 3.30, 3 Pr 3.32-3.62, 3 Er 3.36-3.57, 1 Sm 3.56
Sm6 0.9808 0.9808 0.2599  1 Pr 3.18, 1 Er 3.23, 2 Ho 3.28, 1 Sm 3.40
Ho1 0.4418 0.4418 0.7272  3 Sm 3.28-3.30, 2 Er 3.65
Ho2 0.5582 0.5582 0.2728  3 Sm 3.28-3.30, 2 Er 3.65
Er1 0.1475 0.1475 0.4643  1 Pr 3.07, 4 Sm 3.23-3.42
Er2 0.8525 0.8525 0.5357  1 Pr 3.07, 4 Sm 3.23-3.42

ΔE_f (meV per atom): 199
Crystal system: monoclinic
Total moment (μB per cell): 0.0
Total DFT energy (no corrections) (eV per atom): -4.4809
Space group: C2/m (12)

=====

# 12
## PrSmHoEr (PBE-GGA)

Data for a relaxed PrSmHoEr crystal.

a = 6.8933 Å, b = 6.8933 Å, c = 3.7623 Å
α = 105.39°, β = 105.39°, γ = 50.67°
Closest atoms and distances in Å follow each position.
Positions (direct):
Pr1 0.0000 0.0000 0.0000  2 Er 3.46-3.58, 4 Ho 3.46-3.54, 2 Sm 3.59-3.80, 2 Pr 3.76
Sm1 0.2665 0.2665 0.8158  2 Ho 3.44-3.54, 4 Er 3.48-3.53, 2 Pr 3.59-3.80, 2 Sm 3.76
Ho1 0.5133 0.5133 0.5323  2 Er 3.34-3.44, 2 Sm 3.44-3.54, 4 Pr 3.46-3.54
Er1 0.7503 0.7503 0.2865  2 Ho 3.34-3.44, 2 Pr 3.46-3.58, 4 Sm 3.48-3.53

ΔE_f (meV per atom): 112
Crystal system: monoclinic
Total moment (μB per cell): 0.0
Total DFT energy (no corrections) (eV per atom): -4.5481
Space group: Cm (8)